First-principles (PBEsol) data for crystalline AsPW2 at its relaxed geometry, as listed in the Alexandria database.

Structure (POSCAR):
```
AsPW2
1.0
-0.907 1.355 2.579
-4.091 -0.267 -1.298
-0.351 -3.844 1.896
As P W
1 1 2
Direct
0.500 0.500 0.500 As
0.500 0.000 0.000 P
0.000 0.000 0.500 W
0.000 0.500 0.000 W
```

=====

First-principles (PBEsol) data for crystalline MnP4 at its relaxed geometry, as listed in the Alexandria database.

Structure (POSCAR):
```
MnP4
1.0
4.793 -0.006 0.000
-1.486 6.660 0.000
0.000 0.000 13.346
P Mn
24 6
Direct
0.488 0.933 0.224 P
0.359 0.621 0.391 P
0.369 0.058 0.442 P
0.740 0.786 0.114 P
0.260 0.714 0.614 P
0.641 0.879 0.891 P
0.631 0.442 0.942 P
0.740 0.286 0.386 P
0.641 0.379 0.609 P
0.488 0.433 0.276 P
0.784 0.246 0.050 P
0.078 0.397 0.776 P
0.922 0.103 0.276 P
0.512 0.067 0.776 P
0.260 0.214 0.886 P
0.631 0.942 0.558 P
0.359 0.121 0.109 P
0.216 0.254 0.550 P
0.512 0.567 0.724 P
0.216 0.754 0.950 P
0.922 0.603 0.224 P
0.369 0.558 0.058 P
0.784 0.746 0.450 P
0.078 0.897 0.724 P
0.000 0.500 0.500 Mn
0.874 0.657 0.838 Mn
0.126 0.843 0.338 Mn
0.874 0.157 0.662 Mn
0.126 0.343 0.162 Mn
0.000 0.000 0.000 Mn
```

=====

| no. | formation enthalpy at 0 K (eV/atom) |
| --- | --- |
| 1 | 0.03 |
| 2 | -0.37 |